# 1
# PBE Dy7Al2Pd2, optimized geometry
data_Dy7Al2Pd2
_symmetry_space_group_name_H-M 'C m m m'
_symmetry_Int_Tables_number 65
_symmetry_space_group_name_Hall '-C 2 2'
_cell_length_a 7.9417
_cell_length_b 10.9270
_cell_length_c 7.0338
_cell_angle_alpha 90.00
_cell_angle_beta 90.00
_cell_angle_gamma 90.00
loop_
_atom_site_label
_atom_site_fract_x
_atom_site_fract_y
_atom_site_fract_z
_atom_site_occupancy
Dy1 0.0000 0.0000 0.0000 1
Dy2 0.0000 0.5000 0.2583 1
Dy3 0.2500 0.2500 0.2634 1
Al1 0.1662 0.0000 0.5000 1
Pd1 0.0000 0.2920 0.0000 1
# Fermi-level density of states = 0.886 states/eV per atom
# Energy of formation = -0.299 eV per atom

# 2
# PBE DyAl6Pd2, optimized geometry
data_DyAl6Pd2
_symmetry_space_group_name_H-M 'P 4/m m m'
_symmetry_Int_Tables_number 123
_symmetry_space_group_name_Hall '-P 4 2'
_cell_length_a 4.5258
_cell_length_b 4.5258
_cell_length_c 7.9108
_cell_angle_alpha 90.00
_cell_angle_beta 90.00
_cell_angle_gamma 90.00
loop_
_atom_site_label
_atom_site_fract_x
_atom_site_fract_y
_atom_site_fract_z
_atom_site_occupancy
Dy1 0.0000 0.0000 0.0000 1
Al1 0.0000 0.0000 0.5000 1
Al2 0.0000 0.5000 0.2962 1
Al3 0.5000 0.5000 0.5000 1
Pd1 0.5000 0.5000 0.1696 1
# Fermi-level density of states = 0.382 states/eV per atom
# Energy of formation = -0.443 eV per atom

# 3
# PBE DyAl3Pd3, optimized geometry
data_DyAl3Pd3
_symmetry_space_group_name_H-M 'P m -3 n'
_symmetry_Int_Tables_number 223
_symmetry_space_group_name_Hall '-P 4n 2 3'
_cell_length_a 6.7286
_cell_length_b 6.7286
_cell_length_c 6.7286
_cell_angle_alpha 90.00
_cell_angle_beta 90.00
_cell_angle_gamma 90.00
loop_
_atom_site_label
_atom_site_fract_x
_atom_site_fract_y
_atom_site_fract_z
_atom_site_occupancy
Dy1 0.0000 0.0000 0.0000 1
Al1 0.0000 0.2500 0.5000 1
Pd1 0.0000 0.5000 0.2500 1
# Fermi-level density of states = 0.735 states/eV per atom
# Energy of formation = -0.336 eV per atom

# 4
# PBE Dy3AlPd12, optimized geometry
data_Dy3AlPd12
_symmetry_space_group_name_H-M 'P 4/m m m'
_symmetry_Int_Tables_number 123
_symmetry_space_group_name_Hall '-P 4 2'
_cell_length_a 4.0997
_cell_length_b 4.0997
_cell_length_c 16.0619
_cell_angle_alpha 90.00
_cell_angle_beta 90.00
_cell_angle_gamma 90.00
loop_
_atom_site_label
_atom_site_fract_x
_atom_site_fract_y
_atom_site_fract_z
_atom_site_occupancy
Dy1 0.0000 0.0000 0.0000 1
Dy2 0.0000 0.0000 0.2581 1
Al1 0.0000 0.0000 0.5000 1
Pd1 0.0000 0.5000 0.1292 1
Pd2 0.0000 0.5000 0.3886 1
Pd3 0.5000 0.5000 0.0000 1
Pd4 0.5000 0.5000 0.2587 1
Pd5 0.5000 0.5000 0.5000 1
# Fermi-level density of states = 0.706 states/eV per atom
# Energy of formation = -0.808 eV per atom

# 5
# PBE Dy2Al8Pd, optimized geometry
data_Dy2Al8Pd
_symmetry_space_group_name_H-M 'P 4/m m m'
_symmetry_Int_Tables_number 123
_symmetry_space_group_name_Hall '-P 4 2'
_cell_length_a 4.2913
_cell_length_b 4.2913
_cell_length_c 11.1867
_cell_angle_alpha 90.00
_cell_angle_beta 90.00
_cell_angle_gamma 90.00
loop_
_atom_site_label
_atom_site_fract_x
_atom_site_fract_y
_atom_site_fract_z
_atom_site_occupancy
Dy1 0.0000 0.0000 0.1884 1
Al1 0.0000 0.5000 0.0000 1
Al2 0.0000 0.5000 0.3741 1
Al3 0.5000 0.5000 0.1951 1
Pd1 0.0000 0.0000 0.5000 1
# Fermi-level density of states = 0.189 states/eV per atom
# Energy of formation = -0.492 eV per atom

# 6
# PBE Dy2Al6Pd9, optimized geometry
data_Dy2Al6Pd9
_symmetry_space_group_name_H-M 'P 6/m m m'
_symmetry_Int_Tables_number 191
_symmetry_space_group_name_Hall '-P 6 2'
_cell_length_a 5.5633
_cell_length_b 5.5633
_cell_length_c 11.9012
_cell_angle_alpha 90.00
_cell_angle_beta 90.00
_cell_angle_gamma 120.00
loop_
_atom_site_label
_atom_site_fract_x
_atom_site_fract_y
_atom_site_fract_z
_atom_site_occupancy
Dy1 0.0000 0.0000 0.2024 1
Al1 0.3333 0.6667 0.1637 1
Al2 0.3333 0.6667 0.5000 1
Pd1 0.0000 0.5000 0.0000 1
Pd2 0.0000 0.5000 0.3307 1
# Fermi-level density of states = 0.509 states/eV per atom
# Energy of formation = -0.743 eV per atom

# 7
# PBE DyAlPd6, optimized geometry
data_DyAlPd6
_symmetry_space_group_name_H-M 'R -3 m'
_symmetry_Int_Tables_number 166
_symmetry_space_group_name_Hall '-R 3 2"'
_cell_length_a 5.4699
_cell_length_b 5.4699
_cell_length_c 18.9491
_cell_angle_alpha 90.00
_cell_angle_beta 90.00
_cell_angle_gamma 120.00
loop_
_atom_site_label
_atom_site_fract_x
_atom_site_fract_y
_atom_site_fract_z
_atom_site_occupancy
Dy1 0.0000 0.0000 0.0000 1
Al1 0.0000 0.0000 0.5000 1
Pd1 0.0081 0.5041 0.9285 1
# Polymorph energy (0 for the lowest one) = 419 meV per atom
# Fermi-level density of states = 0.468 states/eV per atom
# Energy of formation = -0.318 eV per atom

# 8
# PBE PmDyAl2Pd5, optimized geometry
data_PmDyAl2Pd5
_symmetry_space_group_name_H-M 'P 4/m m m'
_symmetry_Int_Tables_number 123
_symmetry_space_group_name_Hall '-P 4 2'
_cell_length_a 4.2611
_cell_length_b 4.2611
_cell_length_c 9.2473
_cell_angle_alpha 90.00
_cell_angle_beta 90.00
_cell_angle_gamma 90.00
loop_
_atom_site_label
_atom_site_fract_x
_atom_site_fract_y
_atom_site_fract_z
_atom_site_occupancy
Pm1 0.0000 0.0000 0.0000 1
Dy1 0.0000 0.0000 0.5000 1
Al1 0.5000 0.5000 0.3602 1
Pd1 0.0000 0.5000 0.2275 1
Pd2 0.5000 0.5000 0.0000 1
# Fermi-level density of states = 0.664 states/eV per atom
# Energy of formation = -0.811 eV per atom